## CoSbTe2Se (GGA-PBE)

Data for a geometry-optimized CoSbTe2Se structure.

Summary:
E above lowest polymorph, eV/atom: 0.7331
Symmetry: P4/mmm (123)
Fermi-level density of states, states/eV per cell: 7.2
Formation energy from raw total energies, meV per atom: 1123
Total DFT energy (no corrections), eV/atom: -3.0766

Cell lengths 5.4184, 5.4184, 5.4392 Å; angles 90.00, 90.00, 90.00 degrees
Sites, in units of the cell vectors:
Co (0.0000, 0.0000, 0.0000)
Sb (0.5000, 0.5000, 0.0000)
Te (0.0000, 0.5000, 0.5000)
Te (0.5000, 0.0000, 0.5000)
Se (0.5000, 0.5000, 0.5000)



## EuMgPdAu (GGA-PBE)

Data for a geometry-optimized EuMgPdAu structure.

Summary:
Symmetry: F-43m (216)
Fermi-level density of states, states/eV per cell: 12.2
Formation enthalpy at 0 K, eV per formula unit: -2.42
Total DFT energy (no corrections), eV/atom: -5.6901

Cell lengths 4.9629, 4.9629, 4.9629 Å; angles 60.00, 60.00, 60.00 degrees
Sites, in units of the cell vectors:
Eu (0.0000, 0.0000, 0.0000)
Mg (0.5000, 0.5000, 0.5000)
Pd (0.2500, 0.2500, 0.2500)
Au (0.7500, 0.7500, 0.7500)



## La2Sm3ErSe6 (GGA-PBE)

Data for a geometry-optimized La2Sm3ErSe6 structure.

Summary:
Symmetry: C2/m (12)
Fermi-level density of states, states/eV per cell: 6.4
Formation energy from raw total energies, meV per atom: -1853
Total DFT energy (no corrections), eV/atom: -5.9770

Cell lengths 9.3689, 9.3689, 8.4475 Å; angles 102.76, 102.76, 25.78 degrees
Sites, in units of the cell vectors:
La (0.1667, 0.1667, 0.3345)
La (0.8333, 0.8333, 0.6655)
Sm (0.1704, 0.1704, 0.8345)
Sm (0.5000, 0.5000, 0.5000)
Sm (0.8296, 0.8296, 0.1655)
Er (0.5000, 0.5000, 0.0000)
Se (0.0038, 0.0038, 0.7614)
Se (0.3359, 0.3359, 0.4108)
Se (0.3385, 0.3385, 0.9255)
Se (0.6615, 0.6615, 0.0745)
Se (0.6641, 0.6641, 0.5892)
Se (0.9962, 0.9962, 0.2386)



## MgZr4P (GGA-PBE)

Data for a geometry-optimized MgZr4P structure.

Summary:
Symmetry: F-43m (216)
Fermi-level density of states, states/eV per cell: 6.9
Formation enthalpy at 0 K, eV per formula unit: 2.49
Total DFT energy (no corrections), eV/atom: -6.4510

Cell lengths 5.7572, 5.7572, 5.7572 Å; angles 60.00, 60.00, 60.00 degrees
Sites, in units of the cell vectors:
Mg (0.0000, 0.0000, 0.0000)
Zr (0.1204, 0.6265, 0.6265)
Zr (0.6265, 0.1204, 0.6265)
Zr (0.6265, 0.6265, 0.1204)
Zr (0.6265, 0.6265, 0.6265)
P (0.2500, 0.2500, 0.2500)



## YPaSb2 (GGA-PBE)

Data for a geometry-optimized YPaSb2 structure.

Summary:
Symmetry: R-3m (166)
Fermi-level density of states, states/eV per cell: 6.1
Formation energy from raw total energies, meV per atom: -786
Total DFT energy (no corrections), eV/atom: -6.8369

Cell lengths 7.6273, 7.6273, 7.6273 Å; angles 33.30, 33.30, 33.30 degrees
Sites, in units of the cell vectors:
Y (0.0000, 0.0000, 0.0000)
Pa (0.5000, 0.5000, 0.5000)
Sb (0.2504, 0.2504, 0.2504)
Sb (0.7496, 0.7496, 0.7496)



## Cd3Sn2Pd4 (GGA-PBE)

Data for a geometry-optimized Cd3Sn2Pd4 structure.

Summary:
Symmetry: C2/m (12)
Fermi-level density of states, states/eV per cell: 2.1
Formation enthalpy at 0 K, eV per formula unit: -3.44
Total DFT energy (no corrections), eV/atom: -3.8844

Cell lengths 4.6257, 4.6257, 8.9768 Å; angles 90.23, 90.23, 59.76 degrees
Sites, in units of the cell vectors:
Cd (0.0000, 0.0000, 0.0000)
Cd (0.3341, 0.3341, 0.4390)
Cd (0.6659, 0.6659, 0.5610)
Sn (0.3327, 0.3327, 0.7973)
Sn (0.6673, 0.6673, 0.2027)
Pd (0.0016, 0.0016, 0.3286)
Pd (0.3339, 0.3339, 0.1225)
Pd (0.6661, 0.6661, 0.8775)
Pd (0.9984, 0.9984, 0.6714)



## Rb2Mg3Cl8 (GGA-PBE)

Data for a geometry-optimized Rb2Mg3Cl8 structure.

Summary:
Symmetry: C2/m (12)
Fermi-level density of states, states/eV per cell: 0.0
Formation energy from raw total energies, meV per atom: -1896
Total DFT energy (no corrections), eV/atom: -3.5491

Cell lengths 8.7657, 8.7657, 6.5813 Å; angles 105.79, 105.79, 51.82 degrees
Sites, in units of the cell vectors:
Rb (0.2340, 0.2340, 0.1716)
Rb (0.7660, 0.7660, 0.8284)
Mg (0.2396, 0.7604, 0.5000)
Mg (0.5000, 0.5000, 0.0000)
Mg (0.7604, 0.2396, 0.5000)
Cl (0.1005, 0.1005, 0.4564)
Cl (0.1826, 0.6360, 0.1158)
Cl (0.3640, 0.8174, 0.8842)
Cl (0.4081, 0.4081, 0.6039)
Cl (0.5919, 0.5919, 0.3961)
Cl (0.6360, 0.1826, 0.1158)
Cl (0.8174, 0.3640, 0.8842)
Cl (0.8995, 0.8995, 0.5436)



## KSi3Hg (GGA-PBE)

Data for a geometry-optimized KSi3Hg structure.

Summary:
E above lowest polymorph, eV/atom: 0.0000
Symmetry: Pm-3m (221)
Fermi-level density of states, states/eV per cell: 3.9
Formation energy from raw total energies, meV per atom: 994
Total DFT energy (no corrections), eV/atom: -2.5397

Cell lengths 5.2638, 5.2638, 5.2638 Å; angles 90.00, 90.00, 90.00 degrees
Sites, in units of the cell vectors:
K (0.0000, 0.0000, 0.0000)
Si (0.0000, 0.5000, 0.5000)
Si (0.5000, 0.0000, 0.5000)
Si (0.5000, 0.5000, 0.0000)
Hg (0.5000, 0.5000, 0.5000)



## NdHgCl6 (GGA-PBE)

Data for a geometry-optimized NdHgCl6 structure.

Summary:
Symmetry: P-1 (2)
Fermi-level density of states, states/eV per cell: 7.4
Formation energy from raw total energies, meV per atom: -1178
Total DFT energy (no corrections), eV/atom: -3.1967

Cell lengths 6.5727, 6.6125, 7.0126 Å; angles 116.55, 90.15, 115.64 degrees
Sites, in units of the cell vectors:
Nd (0.0000, 0.0000, 0.0000)
Hg (0.5000, 0.0000, 0.5000)
Cl (0.0703, 0.4915, 0.2483)
Cl (0.2662, 0.1874, 0.7530)
Cl (0.4226, 0.1640, 0.2594)
Cl (0.5774, 0.8360, 0.7406)
Cl (0.7338, 0.8126, 0.2470)
Cl (0.9297, 0.5085, 0.7517)



## Ba2S8I (GGA-PBE)

Data for a geometry-optimized Ba2S8I structure.

Summary:
Symmetry: P-1 (2)
Formation energy from raw total energies, meV per atom: -728
Total DFT energy (no corrections), eV/atom: -4.2207

Cell lengths 6.3613, 6.4046, 9.6200 Å; angles 108.61, 91.70, 96.71 degrees
Sites, in units of the cell vectors:
Ba (0.2295, 0.3489, 0.2640)
Ba (0.7705, 0.6511, 0.7360)
S (0.0721, 0.8828, 0.0237)
S (0.2678, 0.6477, 0.6252)
S (0.2756, 0.9472, 0.5897)
S (0.2796, 0.9054, 0.3763)
S (0.7204, 0.0946, 0.6237)
S (0.7244, 0.0528, 0.4103)
S (0.7322, 0.3523, 0.3748)
S (0.9279, 0.1172, 0.9763)
I (0.5000, 0.5000, 0.0000)



## La8Pt3RhCl4 (GGA-PBE)

Data for a geometry-optimized La8Pt3RhCl4 structure.

Summary:
Symmetry: R-3m (166)
Fermi-level density of states, states/eV per cell: 11.9
Formation energy from raw total energies, meV per atom: -1406
Total DFT energy (no corrections), eV/atom: -5.9231

Cell lengths 9.0220, 9.0220, 9.0220 Å; angles 56.08, 56.08, 56.08 degrees
Sites, in units of the cell vectors:
La (0.2360, 0.2360, 0.2360)
La (0.2409, 0.7336, 0.7336)
La (0.2664, 0.2664, 0.7591)
La (0.2664, 0.7591, 0.2664)
La (0.7336, 0.2409, 0.7336)
La (0.7336, 0.7336, 0.2409)
La (0.7591, 0.2664, 0.2664)
La (0.7640, 0.7640, 0.7640)
Pt (0.0000, 0.0000, 0.5000)
Pt (0.0000, 0.5000, 0.0000)
Pt (0.5000, 0.0000, 0.0000)
Rh (0.5000, 0.5000, 0.5000)
Cl (0.0000, 0.0000, 0.0000)
Cl (0.0000, 0.5000, 0.5000)
Cl (0.5000, 0.0000, 0.5000)
Cl (0.5000, 0.5000, 0.0000)



## Pr7SmTm3 (GGA-PBE)

Data for a geometry-optimized Pr7SmTm3 structure.

Summary:
E above lowest polymorph, eV/atom: 0.0506
Symmetry: P3m1 (156)
Fermi-level density of states, states/eV per cell: 17.1
Formation enthalpy at 0 K, eV per formula unit: 2.06
Total DFT energy (no corrections), eV/atom: -4.5031

Cell lengths 7.2538, 7.2538, 8.6949 Å; angles 90.00, 90.00, 120.00 degrees
Sites, in units of the cell vectors:
Pr (0.0000, 0.0000, 0.0000)
Pr (0.0000, 0.5000, 0.9784)
Pr (0.1670, 0.3340, 0.3360)
Pr (0.1670, 0.8330, 0.3360)
Pr (0.5000, 0.0000, 0.9784)
Pr (0.5000, 0.5000, 0.9784)
Pr (0.6660, 0.8330, 0.3360)
Sm (0.6667, 0.3333, 0.3157)
Tm (0.3344, 0.1672, 0.6561)
Tm (0.8328, 0.1672, 0.6561)
Tm (0.8328, 0.6656, 0.6561)



## BeGaSn2B (GGA-PBE)

Data for a geometry-optimized BeGaSn2B structure.

Summary:
E above lowest polymorph, eV/atom: 0.2065
Symmetry: P4/mmm (123)
Fermi-level density of states, states/eV per cell: 2.9
Formation enthalpy at 0 K, eV per formula unit: 6.61
Total DFT energy (no corrections), eV/atom: -2.9661

Cell lengths 5.3236, 5.3236, 4.1165 Å; angles 90.00, 90.00, 90.00 degrees
Sites, in units of the cell vectors:
Be (0.0000, 0.0000, 0.0000)
Ga (0.0000, 0.0000, 0.5000)
Sn (0.0000, 0.5000, 0.5000)
Sn (0.5000, 0.0000, 0.5000)
B (0.5000, 0.5000, 0.0000)



## K2ZrIr (GGA-PBE)

Data for a geometry-optimized K2ZrIr structure.

Summary:
E above lowest polymorph, eV/atom: 0.7439
Symmetry: I-4m2 (119)
Fermi-level density of states, states/eV per cell: 4.7
Formation enthalpy at 0 K, eV per formula unit: 3.39
Total DFT energy (no corrections), eV/atom: -4.0540

Cell lengths 5.1475, 5.1475, 5.1475 Å; angles 120.09, 120.09, 89.84 degrees
Sites, in units of the cell vectors:
K (0.0000, 0.0000, 0.0000)
K (0.7500, 0.2500, 0.5000)
Zr (0.2500, 0.7500, 0.5000)
Ir (0.5000, 0.5000, 0.0000)



## CePmNdTh (GGA-PBE)

Data for a geometry-optimized CePmNdTh structure.

Summary:
E above lowest polymorph, eV/atom: 0.0000
Symmetry: R3m (160)
Fermi-level density of states, states/eV per cell: 6.9
Formation enthalpy at 0 K, eV per formula unit: 0.16
Total DFT energy (no corrections), eV/atom: -5.6779

Cell lengths 11.8443, 11.8443, 11.8443 Å; angles 17.39, 17.39, 17.39 degrees
Sites, in units of the cell vectors:
Ce (0.0000, 0.0000, 0.0000)
Pm (0.5849, 0.5849, 0.5849)
Nd (0.8285, 0.8285, 0.8285)
Th (0.4120, 0.4120, 0.4120)



## La3Y4 (GGA-PBE)

Data for a geometry-optimized La3Y4 structure.

Summary:
E above lowest polymorph, eV/atom: 0.0798
Symmetry: I4/mmm (139)
Fermi-level density of states, states/eV per cell: 16.4
Formation enthalpy at 0 K, eV per formula unit: 0.76
Total DFT energy (no corrections), eV/atom: -5.6974

Cell lengths 14.4956, 14.4956, 14.4956 Å; angles 163.55, 163.55, 23.35 degrees
Sites, in units of the cell vectors:
La (0.0000, 0.0000, 0.0000)
La (0.2902, 0.2902, 0.0000)
La (0.7098, 0.7098, 0.0000)
Y (0.1356, 0.1356, 0.0000)
Y (0.4276, 0.4276, 0.0000)
Y (0.5724, 0.5724, 0.0000)
Y (0.8644, 0.8644, 0.0000)



## AlHIO2 (GGA-PBE)

Data for a geometry-optimized AlHIO2 structure.

Summary:
E above lowest polymorph, eV/atom: 1.3583
Symmetry: P4/mmm (123)
Fermi-level density of states, states/eV per cell: 3.4
Total DFT energy (no corrections), eV/atom: -3.0798

Cell lengths 4.2154, 4.2154, 3.4531 Å; angles 90.00, 90.00, 90.00 degrees
Sites, in units of the cell vectors:
Al (0.0000, 0.0000, 0.0000)
H (0.5000, 0.5000, 0.5000)
I (0.5000, 0.5000, 0.0000)
O (0.0000, 0.5000, 0.5000)
O (0.5000, 0.0000, 0.5000)



## KDyAg2Cl6 (GGA-PBE)

Data for a geometry-optimized KDyAg2Cl6 structure.

Summary:
Symmetry: R3 (146)
Fermi-level density of states, states/eV per cell: 0.0
Formation energy from raw total energies, meV per atom: -1484
Total DFT energy (no corrections), eV/atom: -3.7317

Cell lengths 7.6569, 7.6569, 7.6569 Å; angles 55.28, 55.28, 55.28 degrees
Sites, in units of the cell vectors:
K (0.0000, 0.0000, 0.0000)
Dy (0.4854, 0.4854, 0.4854)
Ag (0.2893, 0.2893, 0.2893)
Ag (0.8028, 0.8028, 0.8028)
Cl (0.0883, 0.6585, 0.4462)
Cl (0.2316, 0.5572, 0.8777)
Cl (0.4462, 0.0883, 0.6585)
Cl (0.5572, 0.8777, 0.2316)
Cl (0.6585, 0.4462, 0.0883)
Cl (0.8777, 0.2316, 0.5572)



## Na2InPb4 (GGA-PBE)

Data for a geometry-optimized Na2InPb4 structure.

Summary:
E above lowest polymorph, eV/atom: 0.0000
Symmetry: I4mm (107)
Fermi-level density of states, states/eV per cell: 4.0
Formation enthalpy at 0 K, eV per formula unit: -0.23
Total DFT energy (no corrections), eV/atom: -2.9200

Cell lengths 6.5573, 6.5573, 6.5573 Å; angles 104.29, 104.29, 120.42 degrees
Sites, in units of the cell vectors:
Na (0.0000, 0.5000, 0.5000)
Na (0.5000, 0.0000, 0.5000)
In (0.2532, 0.2532, 0.0000)
Pb (0.5462, 0.5462, 0.5932)
Pb (0.5462, 0.9529, 0.0000)
Pb (0.9529, 0.5462, 0.0000)
Pb (0.9529, 0.9529, 0.4068)



## GeHCl2 (GGA-PBE)

Data for a geometry-optimized GeHCl2 structure.

Summary:
E above lowest polymorph, eV/atom: 0.0000
Symmetry: Cm (8)
Fermi-level density of states, states/eV per cell: 0.4
Total DFT energy (no corrections), eV/atom: -3.2300

Cell lengths 3.4290, 3.4290, 9.4876 Å; angles 93.97, 93.97, 62.06 degrees
Sites, in units of the cell vectors:
Ge (0.0000, 0.0000, 0.0000)
H (0.7133, 0.7133, 0.4557)
Cl (0.5110, 0.5110, 0.3906)
Cl (0.9729, 0.9729, 0.7702)